(1)
This record from the Alexandria database describes crystalline NaAg4Ge at its relaxed geometry. The functional is PBE.

The space group is F-43m (No. 216) and the conventional cell measures 7.875, 7.875 and 7.875 Å, with angles of 90.00, 90.00 and 90.00 degrees. The asymmetric unit holds Na at (0.000, 0.000, 0.000), Ag at (0.125, 0.125, 0.625) and Ge at (0.250, 0.250, 0.250).

For the formation energy, the calculation gives 105 meV per atom. The total energy is -2.785 eV per atom. The calculation puts the energy above the most stable polymorph in this dataset at 29.1 kJ/mol of formula units. The density of states at the Fermi level comes out at 0.634 states/eV/atom.

=====

(2)
This record from the Alexandria database describes crystalline GdCdPt2 at its relaxed geometry. The functional is PBE.

The space group is P4/mmm (No. 123) and the conventional cell measures 3.613, 3.613 and 6.065 Å, with angles of 90.00, 90.00 and 90.00 degrees. The asymmetric unit holds Gd at (0.000, 0.000, 0.000), Cd at (0.000, 0.000, 0.500) and Pt at (0.500, 0.500, 0.261).

For the formation energy, the calculation gives -796 meV per atom. The total energy is -7.565 eV per atom. The density of states at the Fermi level comes out at 0.290 states/eV/atom.